First-principles (PBE) data for a geometry-optimized LiZrBe structure, as listed in the Alexandria database.

```
LiZrBe
1.0
4.181 0.000 0.000
2.090 3.621 0.000
2.090 1.207 3.413
Be Li Zr
1 1 1
Direct
0.750 0.750 0.750
0.000 0.000 0.000
0.500 0.500 0.500
```

Properties
- Energy above the lowest structure with this stoichiometry: 0.439 eV/atom
- Uncorrected energy: -4.25 eV per atom
- ΔH_f (0 K): 0.47 eV/atom